Below is TiCuPdRu after structural relaxation, with properties calculated at the PBE level.

Geometry as POSCAR:
```
TiCuPdRu
1.0
-1.961 3.672 -1.149
-4.087 -0.079 -1.394
-3.153 1.626 2.462
Cu Pd Ti Ru
1 1 1 1
Direct
0.750 0.750 0.750 Cu
0.500 0.500 0.500 Pd
0.250 0.250 0.250 Ti
0.000 0.000 0.000 Ru
```

Calculated values
Formation energy from the elements ... -0.29 eV/atom
E_tot ... -27.622 eV/f.u.

=====

Below is Tm2PuZr2Sc4 after structural relaxation, with properties calculated at the PBE level.

Geometry as POSCAR:
```
Tm2PuZr2Sc4
1.0
6.245 1.483 0.332
0.459 7.039 0.768
-3.104 -3.612 4.855
Zr Sc Tm Pu
2 4 2 1
Direct
0.751 0.385 0.068 Zr
0.249 0.615 0.932 Zr
0.697 0.805 0.477 Sc
0.303 0.195 0.523 Sc
0.697 0.805 0.025 Sc
0.303 0.195 0.975 Sc
0.228 0.673 0.450 Tm
0.772 0.327 0.550 Tm
0.000 0.000 0.000 Pu
```

Calculated values
Formation energy from the elements ... 0.20 eV/atom
E_tot ... -63.881 eV/f.u.

=====

Below is ScBi3Pt after structural relaxation, with properties calculated at the PBE level.

Geometry as POSCAR:
```
ScBi3Pt
1.0
-4.424 2.888 -1.383
-2.009 -0.666 5.034
2.494 4.587 1.602
Sc Bi Pt
1 3 1
Direct
0.000 0.000 0.000 Sc
0.000 0.500 0.000 Bi
0.000 0.000 0.500 Bi
0.500 0.000 0.000 Bi
0.500 0.500 0.500 Pt
```

Calculated values
ΔE to the lowest computed polymorph ... 384.9 meV/atom
Formation energy from the elements ... 0.65 eV/atom
E_tot ... -20.763 eV/f.u.